Entry 1
Computed, not measured: a relaxed structure of KAgHg2Pb at the GGA-PBE level of DFT.

Summary:
Space group ... P4/mmm, No. 123

abc: 6.050 6.050 5.411
angles: 90.00 90.00 90.00
Sites, in units of the cell vectors:
Ag  0.000  0.000  0.500
Hg  0.000  0.500  0.000
Hg  0.500  0.000  0.000
Pb  0.000  0.000  0.000
K  0.500  0.500  0.500

Entry 2
Computed, not measured: a relaxed structure of KAgHg2Pb at the GGA-PBE level of DFT.

Summary:
Space group ... P4/mmm, No. 123

abc: 5.518 5.518 5.549
angles: 90.00 90.00 90.00
Sites, in units of the cell vectors:
Pb  0.000  0.000  0.500
Ag  0.000  0.000  0.000
Hg  0.500  0.000  0.000
Hg  0.000  0.500  0.000
K  0.500  0.500  0.500

Quick one: least stable of them? entry 1

Entry 1
Computed, not measured: a relaxed structure of KAgHg2Sb at the GGA-PBE level of DFT.

Summary:
Space group ... P4/mmm, No. 123

abc: 5.852 5.852 5.372
angles: 90.00 90.00 90.00
Sites, in units of the cell vectors:
K  0.500  0.500  0.500
Ag  0.000  0.000  0.500
Sb  0.000  0.000  0.000
Hg  0.000  0.500  0.000
Hg  0.500  0.000  0.000

Entry 2
Computed, not measured: a relaxed structure of KAgHg2Sb at the GGA-PBE level of DFT.

Summary:
Space group ... P4/mmm, No. 123

abc: 5.511 5.511 5.541
angles: 90.00 90.00 90.00
Last column: magnetic moment on the atom in μB.
Sites, in units of the cell vectors:
Ag  0.000  0.000  0.000  0.02
K  0.500  0.500  0.500  0.00
Hg  0.000  0.500  0.000  0.02
Hg  0.500  0.000  0.000  0.02
Sb  0.000  0.000  0.500  0.15

Quick one: least stable of them? entry 1

Entry 1
Computed, not measured: a relaxed structure of KAgSnHg2 at the GGA-PBE level of DFT.

Summary:
Space group ... P4/mmm, No. 123

abc: 5.518 5.518 5.395
angles: 90.00 90.00 90.00
Sites, in units of the cell vectors:
K  0.500  0.500  0.500
Hg  0.500  0.000  0.000
Hg  0.000  0.500  0.000
Ag  0.000  0.000  0.000
Sn  0.000  0.000  0.500

Entry 2
Computed, not measured: a relaxed structure of KAgSnHg2 at the GGA-PBE level of DFT.

Summary:
Space group ... P4/mmm, No. 123

abc: 5.827 5.827 5.314
angles: 90.00 90.00 90.00
Sites, in units of the cell vectors:
Ag  0.000  0.000  0.500
Hg  0.000  0.500  0.000
Hg  0.500  0.000  0.000
K  0.500  0.500  0.500
Sn  0.000  0.000  0.000

Quick one: least stable of them? entry 1

Entry 1
Computed, not measured: a relaxed structure of KTl2AgHg at the GGA-PBE level of DFT.

Summary:
Space group ... P4/mmm, No. 123

abc: 5.467 5.467 6.364
angles: 90.00 90.00 90.00
Sites, in units of the cell vectors:
Hg  0.500  0.500  0.500
Ag  0.000  0.000  0.000
K  0.000  0.000  0.500
Tl  0.500  0.000  0.000
Tl  0.000  0.500  0.000

Entry 2
Computed, not measured: a relaxed structure of KTl2AgHg at the GGA-PBE level of DFT.

Summary:
Space group ... P4/mmm, No. 123

abc: 5.604 5.604 5.536
angles: 90.00 90.00 90.00
Sites, in units of the cell vectors:
Tl  0.000  0.500  0.000
Tl  0.500  0.000  0.000
K  0.500  0.500  0.500
Hg  0.000  0.000  0.500
Ag  0.000  0.000  0.000

Quick one: least stable of them? entry 1

Entry 1
Computed, not measured: a relaxed structure of LaAgHg4 at the GGA-PBE level of DFT.

Summary:
Space group ... Cmc2_1, No. 36

abc: 5.145 7.228 8.551
angles: 90.00 107.51 90.00
Sites, in units of the cell vectors:
Ag  0.345  0.225  0.690
Ag  0.655  0.725  0.310
Hg  0.352  0.633  0.703
Hg  0.648  0.133  0.297
Hg  0.475  0.959  0.950
Hg  0.202  0.924  0.404
Hg  0.798  0.424  0.596
Hg  0.525  0.459  0.050
Hg  0.025  0.764  0.050
Hg  0.975  0.264  0.950
La  0.170  0.429  0.339
La  0.830  0.929  0.661

Entry 2
Computed, not measured: a relaxed structure of LaAgHg4 at the GGA-PBE level of DFT.

Summary:
Space group ... F-43m, No. 216

abc: 5.992 5.992 5.992
angles: 60.00 60.00 60.00
Sites, in units of the cell vectors:
Ag  0.000  0.000  0.000
Hg  0.876  0.375  0.375
Hg  0.375  0.375  0.375
Hg  0.375  0.876  0.375
Hg  0.375  0.375  0.876
La  0.750  0.750  0.750

Quick one: least stable of them? entry 2

Entry 1
Computed, not measured: a relaxed structure of LaAgHg6 at the GGA-PBE level of DFT.

Summary:
Space group ... R-3m, No. 166

abc: 6.228 6.228 8.734
angles: 69.11 69.11 60.00
Sites, in units of the cell vectors:
Hg  0.932  0.450  0.686
Hg  0.550  0.068  0.314
Hg  0.068  0.550  0.314
Hg  0.068  0.068  0.314
Hg  0.450  0.932  0.686
Hg  0.932  0.932  0.686
La  0.000  0.000  0.000
Ag  0.500  0.500  0.500

Entry 2
Computed, not measured: a relaxed structure of LaAgHg6 at the GGA-PBE level of DFT.

Summary:
Space group ... Amm2, No. 38

abc: 5.056 6.659 6.659
angles: 113.24 90.00 90.00
Sites, in units of the cell vectors:
La  0.000  0.112  0.888
Hg  0.500  0.852  0.580
Hg  0.000  0.627  0.373
Hg  0.500  0.907  0.093
Hg  0.000  0.154  0.402
Hg  0.500  0.420  0.148
Hg  0.000  0.598  0.846
Ag  0.500  0.329  0.671

Quick one: least stable of them? entry 1

Entry 1
Computed, not measured: a relaxed structure of La4Ag3Hg at the GGA-PBE level of DFT.

Summary:
Space group ... Pmm2, No. 25

abc: 3.981 4.982 11.810
angles: 90.00 90.00 90.00
Sites, in units of the cell vectors:
La  0.000  0.000  0.146
La  0.500  0.000  0.641
La  0.500  0.500  0.361
La  0.000  0.500  0.852
Ag  0.500  0.000  0.920
Ag  0.000  0.500  0.576
Ag  0.000  0.000  0.426
Hg  0.500  0.500  0.079

Entry 2
Computed, not measured: a relaxed structure of La4Ag3Hg at the GGA-PBE level of DFT.

Summary:
Space group ... Pmmm, No. 47

abc: 3.851 5.443 10.867
angles: 90.00 90.00 90.00
Sites, in units of the cell vectors:
La  0.000  0.500  0.254
La  0.000  0.000  0.000
La  0.000  0.500  0.746
La  0.000  0.000  0.500
Ag  0.500  0.500  0.500
Ag  0.500  0.000  0.251
Ag  0.500  0.000  0.749
Hg  0.500  0.500  0.000

Quick one: least stable of them? entry 1

Entry 1
Computed, not measured: a relaxed structure of La2Ag3Hg at the GGA-PBE level of DFT.

Summary:
Space group ... Fmmm, No. 69

abc: 6.106 6.106 9.879
angles: 113.93 113.93 71.80
Sites, in units of the cell vectors:
Ag  0.165  0.165  0.330
Ag  0.835  0.835  0.670
Ag  0.165  0.165  0.835
Ag  0.330  0.330  0.165
Ag  0.835  0.835  0.165
Ag  0.670  0.670  0.835
La  0.247  0.753  0.000
La  0.753  0.247  0.000
La  0.750  0.250  0.500
La  0.250  0.750  0.500
Hg  0.334  0.334  0.667
Hg  0.666  0.666  0.333

Entry 2
Computed, not measured: a relaxed structure of La2Ag3Hg at the GGA-PBE level of DFT.

Summary:
Space group ... Imm2, No. 44

abc: 4.229 4.194 9.609
angles: 102.61 102.71 90.00
Sites, in units of the cell vectors:
Ag  0.703  0.703  0.405
Ag  0.296  0.796  0.592
Ag  0.552  0.552  0.104
La  0.867  0.367  0.735
La  0.129  0.129  0.258
Hg  0.453  0.953  0.906

Quick one: least stable of them? entry 2

Entry 1
Computed, not measured: a relaxed structure of La2AgHg2 at the GGA-PBE level of DFT.

Summary:
Space group ... C2/m, No. 12

abc: 4.546 6.106 11.495
angles: 73.16 78.59 68.14
Sites, in units of the cell vectors:
La  0.897  0.311  0.395
La  0.103  0.689  0.605
La  0.397  0.811  0.895
La  0.603  0.189  0.105
Hg  0.114  0.384  0.887
Hg  0.886  0.616  0.113
Hg  0.614  0.884  0.387
Hg  0.386  0.116  0.613
Ag  0.250  0.750  0.250
Ag  0.750  0.250  0.750

Entry 2
Computed, not measured: a relaxed structure of La2AgHg2 at the GGA-PBE level of DFT.

Summary:
Space group ... C2/m, No. 12

abc: 4.848 6.141 10.634
angles: 91.09 76.82 66.75
Sites, in units of the cell vectors:
La  0.927  0.252  0.894
La  0.682  0.290  0.346
La  0.318  0.710  0.654
La  0.073  0.748  0.106
Ag  0.393  0.884  0.330
Ag  0.607  0.116  0.670
Hg  0.936  0.706  0.422
Hg  0.654  0.812  0.879
Hg  0.346  0.188  0.121
Hg  0.064  0.294  0.578

Quick one: least stable of them? entry 1

Entry 1
Computed, not measured: a relaxed structure of La2AgHg2 at the GGA-PBE level of DFT.

Summary:
Space group ... I4/mmm, No. 139

abc: 4.166 4.166 9.177
angles: 76.88 76.88 90.00
Sites, in units of the cell vectors:
Hg  0.750  0.250  0.500
Hg  0.250  0.750  0.500
La  0.401  0.401  0.198
La  0.599  0.599  0.802
Ag  0.000  0.000  0.000

Entry 2
Computed, not measured: a relaxed structure of La2AgHg2 at the GGA-PBE level of DFT.

Summary:
Space group ... P4/mbm, No. 127

abc: 7.888 7.888 4.583
angles: 90.00 90.00 90.00
Sites, in units of the cell vectors:
Hg  0.639  0.139  0.000
Hg  0.139  0.361  0.000
Hg  0.361  0.861  0.000
Hg  0.861  0.639  0.000
La  0.837  0.337  0.500
La  0.163  0.663  0.500
La  0.337  0.163  0.500
La  0.663  0.837  0.500
Ag  0.000  0.000  0.000
Ag  0.500  0.500  0.000

Quick one: least stable of them? entry 1

Entry 1
Computed, not measured: a relaxed structure of LaAgHg3 at the GGA-PBE level of DFT.

Summary:
Space group ... Pm-3m, No. 221

abc: 6.083 6.083 6.083
angles: 90.00 90.00 90.00
Sites, in units of the cell vectors:
Hg  0.000  0.500  0.000
Hg  0.500  0.000  0.000
Hg  0.000  0.000  0.500
Ag  0.500  0.500  0.500
La  0.000  0.000  0.000

Entry 2
Computed, not measured: a relaxed structure of LaAgHg3 at the GGA-PBE level of DFT.

Summary:
Space group ... Pm-3m, No. 221

abc: 5.256 5.256 5.256
angles: 90.00 90.00 90.00
Sites, in units of the cell vectors:
La  0.500  0.500  0.500
Hg  0.500  0.000  0.000
Hg  0.000  0.000  0.500
Hg  0.000  0.500  0.000
Ag  0.000  0.000  0.000

Quick one: least stable of them? entry 1

Entry 1
Computed, not measured: a relaxed structure of LaTbAgHg at the GGA-PBE level of DFT.

Summary:
Space group ... F-43m, No. 216

abc: 5.355 5.355 5.355
angles: 60.00 60.00 60.00
Sites, in units of the cell vectors:
Ag  0.750  0.750  0.750
Tb  0.500  0.500  0.500
La  0.000  0.000  0.000
Hg  0.250  0.250  0.250

Entry 2
Computed, not measured: a relaxed structure of LaTbAgHg at the GGA-PBE level of DFT.

Summary:
Space group ... P4mm, No. 99

abc: 3.749 3.749 7.680
angles: 90.00 90.00 90.00
Last column: magnetic moment on the atom in μB.
Sites, in units of the cell vectors:
Hg  0.000  0.000  0.836  0.00
La  0.500  0.500  0.110  0.10
Tb  0.500  0.500  0.599  0.00
Ag  0.000  0.000  0.383  0.00

Quick one: least stable of them? entry 1